# 1
Compound: HfPd3
Source: Alexandria via LeMat-Bulk
Functional: GGA-PBE
Structure: relaxed

Calculated formation energy ... -0.800 eV/atom

Cell lengths 4.5906, 5.6692, 5.0086 Å; angles 90.00, 90.00, 90.00 degrees
Last column: nearest neighbours and their distance in Å.
Space group Pmmn (No. 59, origin choice 2)
Inequivalent atoms, fractional coordinates:
Hf (0.2500, 0.2500, 0.1579)  12 Pd 2.83-2.92
Pd (0.2500, 0.0011, 0.6677)  8 Pd 2.81-2.90, 4 Hf 2.83-2.92
Pd (0.2500, 0.7500, 0.1722)  8 Pd 2.81-2.90, 4 Hf 2.83-2.84

---

# 2
Compound: HfPd
Source: Alexandria via LeMat-Bulk
Functional: GGA-PBE
Structure: relaxed

Calculated formation energy ... -0.547 eV/atom

Cell lengths 8.3327, 8.3327, 4.4584 Å; angles 90.00, 90.00, 90.00 degrees
Last column: nearest neighbours and their distance in Å.
Space group I4/mmm (No. 139)
Inequivalent atoms, fractional coordinates:
Hf (0.0000, 0.3058, 0.0000)  6 Pd 2.76-2.87
Pd (0.1694, 0.1694, 0.5000)  6 Hf 2.76-2.87, 4 Pd 2.82-2.93

---

# 3
Compound: Hf3Pd4
Source: Alexandria via LeMat-Bulk
Functional: GGA-PBE
Structure: relaxed

Calculated formation energy ... -0.737 eV/atom

Cell lengths 12.4750, 12.4750, 5.5788 Å; angles 90.00, 90.00, 120.00 degrees
Last column: nearest neighbours and their distance in Å.
Space group R-3 (No. 148, hexagonal axes)
Inequivalent atoms, fractional coordinates:
Hf (0.0434, 0.2191, 0.2175)  8 Pd 2.71-2.96
Pd (0.0000, 0.0000, 0.0000)  6 Hf 2.79, 2 Pd 2.79
Pd (0.0000, 0.0000, 0.5000)  2 Pd 2.79, 6 Hf 2.96
Pd (0.0526, 0.2654, 0.7045)  6 Hf 2.71-2.92, 3 Pd 2.87-2.93

---

# 4
Compound: HfPd3
Source: Alexandria via LeMat-Bulk
Functional: GGA-PBE
Structure: relaxed

Calculated formation energy ... -0.841 eV/atom

Cell lengths 5.6633, 5.6633, 4.6591 Å; angles 90.00, 90.00, 120.00 degrees
Last column: nearest neighbours and their distance in Å.
Space group P6_3/mmc (No. 194)
Inequivalent atoms, fractional coordinates:
Hf (0.3333, 0.6667, 0.2500)  12 Pd 2.83-2.85
Pd (0.1652, 0.3304, 0.7500)  8 Pd 2.81-2.86, 4 Hf 2.83-2.85